Entry from the Alexandria database: a geometry-optimized Ni2TeMo structure (PBE).

a = 3.248 Å, b = 3.248 Å, c = 5.659 Å
α = 90.00°, β = 90.00°, γ = 90.00°
Space group P4mm (No. 99)
Symmetry-distinct sites (fractional):
Ni (0.000, 0.000, 0.000) (multiplicity 1)
Ni (0.500, 0.500, 0.203) (multiplicity 1)
Te (0.000, 0.000, 0.464) (multiplicity 1)
Mo (0.500, 0.500, 0.753) (multiplicity 1)

Output
The raw formation energy comes out at 22.86 kJ/mol of atoms.

=====

Entry from the Alexandria database: a geometry-optimized MnS2 structure (PBE).

a = 3.0837 Å, b = 3.0837 Å, c = 13.2360 Å
α = 90.00°, β = 90.00°, γ = 120.00°
Space group P6_3/mmc (No. 194)
Symmetry-distinct sites (fractional):
Mn (0.0000, 0.0000, 0.2500) (multiplicity 2)
S (0.3333, 0.6667, 0.1427) (multiplicity 4)

Output
The raw formation energy comes out at -42.95 kJ/mol of atoms.

=====

Entry from the Alexandria database: a geometry-optimized Pa4GeTe3 structure (PBE).

a = 8.899 Å, b = 12.147 Å, c = 4.137 Å
α = 90.00°, β = 90.00°, γ = 90.00°
Space group Cmmm (No. 65)
Symmetry-distinct sites (fractional):
Pa (0.000, 0.239, 0.000) (multiplicity 4)
Pa (0.229, 0.000, 0.500) (multiplicity 4)
Ge (0.000, 0.000, 0.000) (multiplicity 2)
Te (0.000, 0.500, 0.000) (multiplicity 2)
Te (0.250, 0.250, 0.500) (multiplicity 4)

Output
The raw formation energy comes out at -56.29 kJ/mol of atoms.

=====

Entry from the Alexandria database: a geometry-optimized CaCr2Pt structure (PBE).

a = 3.078 Å, b = 3.239 Å, c = 7.128 Å
α = 90.00°, β = 90.00°, γ = 90.00°
Space group Pmm2 (No. 25)
Symmetry-distinct sites (fractional):
Ca (0.000, 0.000, 0.000) (multiplicity 1)
Cr (0.000, 0.000, 0.510) (multiplicity 1)
Cr (0.500, 0.500, 0.664) (multiplicity 1)
Pt (0.500, 0.500, 0.271) (multiplicity 1)

Output
The value obtained for the formation enthalpy at 0 K is 0.20 eV per formula unit.

=====

Entry from the Alexandria database: a geometry-optimized PmGdLuMg structure (PBE).

a = 7.802 Å, b = 7.802 Å, c = 7.802 Å
α = 90.00°, β = 90.00°, γ = 90.00°
Space group F-43m (No. 216)
Symmetry-distinct sites (fractional):
Pm (0.000, 0.000, 0.000) (multiplicity 4)
Gd (0.000, 0.000, 0.500) (multiplicity 4)
Lu (0.250, 0.250, 0.250) (multiplicity 4)
Mg (0.250, 0.250, 0.750) (multiplicity 4)

Output
The value obtained for the formation enthalpy at 0 K is 0.04 eV per formula unit.

=====

Entry from the Alexandria database: a geometry-optimized Tb2Ge4Ir3Rh structure (PBE).

a = 4.233 Å, b = 4.233 Å, c = 10.126 Å
α = 90.00°, β = 90.00°, γ = 90.00°
Space group P-4m2 (No. 115)
Symmetry-distinct sites (fractional):
Tb (0.000, 0.500, 0.246) (multiplicity 2)
Ge (0.000, 0.000, 0.000) (multiplicity 1)
Ge (0.000, 0.500, 0.631) (multiplicity 2)
Ge (0.500, 0.500, 0.000) (multiplicity 1)
Ir (0.000, 0.500, 0.870) (multiplicity 2)
Ir (0.500, 0.500, 0.500) (multiplicity 1)
Rh (0.000, 0.000, 0.500) (multiplicity 1)

Output
The value obtained for the formation enthalpy at 0 K is -7.99 eV per formula unit.

=====

Entry from the Alexandria database: a geometry-optimized TbDyMgSn structure (PBE).

a = 7.500 Å, b = 7.500 Å, c = 7.500 Å
α = 90.00°, β = 90.00°, γ = 90.00°
Space group F-43m (No. 216)
Symmetry-distinct sites (fractional):
Tb (0.000, 0.000, 0.000) (multiplicity 4)
Dy (0.000, 0.000, 0.500) (multiplicity 4)
Mg (0.250, 0.250, 0.250) (multiplicity 4)
Sn (0.250, 0.250, 0.750) (multiplicity 4)

Output
The value obtained for the formation enthalpy at 0 K is -1.61 eV per formula unit.

=====

Entry from the Alexandria database: a geometry-optimized KY2AgRu structure (PBE).

a = 5.354 Å, b = 5.354 Å, c = 4.503 Å
α = 90.00°, β = 90.00°, γ = 90.00°
Space group P4/mmm (No. 123)
Symmetry-distinct sites (fractional):
K (0.000, 0.000, 0.000) (multiplicity 1)
Y (0.000, 0.500, 0.000) (multiplicity 2)
Ag (0.500, 0.500, 0.500) (multiplicity 1)
Ru (0.000, 0.000, 0.500) (multiplicity 1)

Output
The value obtained for the formation enthalpy at 0 K is 7.76 eV per formula unit.

=====

| no. | density of states at the Fermi level (states/eV per cell) |
| --- | --- |
| 1 | 4.72 |
| 2 | 3.73 |
| 3 | 32.27 |
| 4 | 2.25 |
| 5 | 17.72 |
| 6 | 4.54 |
| 7 | 15.55 |
| 8 | 5.21 |